No. 1
ReTe2PbF: relaxed, PBE-GGA.

```
ReTe2PbF
1.0
5.142 0.000 0.000
0.000 5.560 0.000
0.000 0.000 5.142
Te Re F Pb
2 1 1 1
Direct
0.000 0.000 0.500
0.500 0.000 0.000
0.000 0.000 0.000
0.500 0.500 0.500
0.000 0.500 0.000
```

## Properties
mass density = 7.54 g/cm3
formation energy without anion corrections = 136 meV/atom
space group = P4/mmm, No. 123
spin magnetization = 0.0 μB per formula unit



No. 2
ReTePb2F: relaxed, PBE-GGA.

```
ReTePb2F
1.0
4.788 0.000 0.000
0.000 5.445 0.000
0.000 0.000 4.788
Pb Re Te F
2 1 1 1
Direct
0.000 0.000 0.500
0.500 0.000 0.000
0.500 0.500 0.500
0.000 0.500 0.000
0.000 0.000 0.000
```

## Properties
mass density = 9.94 g/cm3
formation energy without anion corrections = 533 meV/atom
space group = P4/mmm, No. 123
spin magnetization = 3.3 μB per formula unit



No. 3
Rh3PbF: relaxed, PBE-GGA.

```
Rh3PbF
1.0
-0.147 4.393 -0.038
-4.387 -0.145 0.235
0.234 0.046 4.389
Rh F Pb
3 1 1
Direct
0.000 0.500 0.000
0.000 0.000 0.500
0.500 0.000 0.000
0.000 0.000 0.000
0.500 0.500 0.500
```

## Properties
mass density = 10.46 g/cm3
formation energy without anion corrections = 464 meV/atom
excess energy over the best structure of this formula in the dataset = 0 meV/atom
space group = Pm-3m, No. 221
spin magnetization = 3.2 μB per formula unit



No. 4
Rh4PbF2: relaxed, PBE-GGA.

```
Rh4PbF2
1.0
5.065 0.000 0.000
0.000 5.065 0.000
2.533 2.533 5.781
F Rh Pb
2 4 1
Direct
0.601 0.601 0.798
0.399 0.399 0.202
0.777 0.777 0.447
0.223 0.223 0.553
0.500 0.000 0.000
0.000 0.500 0.000
0.000 0.000 0.000
```

## Properties
mass density = 7.35 g/cm3
formation energy without anion corrections = 847 meV/atom
space group = I4/mmm, No. 139
spin magnetization = 4.1 μB per formula unit